Hg2MoIr | GGA-PBE | relaxed

The calculation puts the formation energy at 0.702 eV/atom. The total energy is -17.49 eV for the cell shown. For the total magnetic moment, the calculation gives 0.0 Bohr magnetons per cell. The density of states at the Fermi level comes out at 1.110 states/eV per atom. Its density is 16.09 g cm⁻³.

It has space group Pmmm (No. 47), with a = 2.928 Å, b = 4.208 Å, c = 5.777 Å, α = 90.00°, β = 90.00° and γ = 90.00°. Symmetry generates all atoms from Hg at (0.000, 0.000, 0.247), Mo at (0.500, 0.500, 0.500) and Ir at (0.500, 0.500, 0.000).